# Pu2Cd3Au6

An optimized crystal structure of Pu2Cd3Au6 (PBE, Alexandria via LeMat-Bulk).

Cell and atoms, written as extended XYZ:
```
11
Lattice="-2.3989 2.4976 -1.9417 -5.8984 -3.2817 3.0662 1.5178 6.0943 5.9639" Properties=species:S:1:pos:R:3 pbc="T T T"
Pu -0.6617 2.6763 4.2600
Pu -3.7189 0.1363 4.7701
Cd -1.7809 -0.4129 1.6691
Cd -2.5997 3.2256 7.3610
Cd -1.1995 1.2488 -0.9708
Au -3.0693 2.0196 2.3309
Au -3.7102 3.2906 4.7575
Au -0.8404 3.1923 1.0855
Au -5.9391 2.1179 6.0029
Au -1.8498 5.4433 5.2280
Au -4.9298 -0.1331 1.8604
```

Summary:
Total DFT energy (no corrections) (eV per atom): -4.920
Size of the total moment (Bohr magnetons per cell): 11.07
Energy relative to the elements (eV/atom): -0.277



# CeTlInCu

An optimized crystal structure of CeTlInCu (PBE, Alexandria via LeMat-Bulk).

Cell and atoms, written as extended XYZ:
```
4
Lattice="-2.1734 4.6290 -0.0395 -3.4205 1.1881 -3.6113 -4.9378 0.5170 1.2261" Properties=species:S:1:pos:R:3 pbc="T T T"
Tl -7.8988 4.7505 -1.8185
Cu -2.6329 1.5835 -0.6062
Ce 0.0000 0.0000 0.0000
In -5.2659 3.1670 -1.2124
```

Summary:
Total DFT energy (no corrections) (eV per atom): -3.889
Size of the total moment (Bohr magnetons per cell): 0.98
Energy relative to the elements (eV/atom): -0.105



# AsN2Cl

An optimized crystal structure of AsN2Cl (PBE, Alexandria via LeMat-Bulk).

Cell and atoms, written as extended XYZ:
```
8
Lattice="5.5149 0.0000 0.0000 0.0000 5.5149 0.0000 2.7575 2.7575 3.9347" Properties=species:S:1:pos:R:3 pbc="T T T"
As 0.0000 0.0000 0.0000
As 5.5149 2.7575 1.9673
N 4.8104 1.3787 0.9837
N 0.7045 4.1362 0.9837
N 4.1362 3.4620 2.9510
N 6.8937 7.5679 2.9510
Cl 2.7575 2.7575 0.0000
Cl 2.7575 5.5149 1.9673
```

Summary:
E_form (uncorrected) (kJ per mole of atoms): 119
Total DFT energy (no corrections) (eV per atom): -4.553
Size of the total moment (Bohr magnetons per cell): 3.92
Excess energy over the best structure of this formula in the dataset (meV/atom): 0



# Tb6DyYTh2

An optimized crystal structure of Tb6DyYTh2 (PBE, Alexandria via LeMat-Bulk).

Cell and atoms, written as extended XYZ:
```
20
Lattice="-6.6608 -5.5832 5.2032 7.0917 -3.6272 3.3246 -2.4659 7.6374 3.1768" Properties=species:S:1:pos:R:3 pbc="T T T"
Tb -1.3584 4.9547 2.9905
Tb -3.3326 3.3194 6.0199
Tb -0.6766 -6.5277 8.7141
Tb 1.2976 -4.8924 5.6847
Tb 3.7237 -2.0956 6.2805
Tb 2.8375 -2.8919 2.9039
Tb -5.7587 0.5227 5.4241
Tb -4.8725 1.3189 8.8007
Tb 2.9173 0.5963 4.4898
Tb 0.2899 -1.6310 4.6428
Tb -4.9523 -2.1693 7.2148
Tb -2.3249 0.0580 7.0618
Dy -0.2842 1.7076 4.5371
Dy -1.7508 -3.2806 7.1675
Y 5.3223 -4.9002 4.6238
Y -7.3573 3.3272 7.0808
Th 0.9617 0.0213 7.3953
Th 1.2134 0.1605 1.7214
Th -2.9967 -1.5943 4.3093
Th -3.2484 -1.7334 9.9832
```

Summary:
Total DFT energy (no corrections) (eV per atom): -5.220
Size of the total moment (Bohr magnetons per cell): 0.00
Energy relative to the elements (eV/atom): 0.149



# GeAs2O

An optimized crystal structure of GeAs2O (PBE, Alexandria via LeMat-Bulk).

Cell and atoms, written as extended XYZ:
```
4
Lattice="-3.1515 0.8292 3.0005 -4.1791 -1.2480 -0.7747 -1.7833 -3.3280 2.3166" Properties=species:S:1:pos:R:3 pbc="T T T"
As -2.2785 -0.9367 1.1356
As -6.8354 -2.8101 3.4068
Ge -4.5570 -1.8734 2.2712
O 0.0000 0.0000 0.0000
```

Summary:
E_form (uncorrected) (kJ per mole of atoms): 34
Total DFT energy (no corrections) (eV per atom): -4.365
Size of the total moment (Bohr magnetons per cell): 0.00
Excess energy over the best structure of this formula in the dataset (meV/atom): 349



# SnHg2O2

An optimized crystal structure of SnHg2O2 (PBE, Alexandria via LeMat-Bulk).

Cell and atoms, written as extended XYZ:
```
5
Lattice="-3.0531 -0.8504 2.3438 0.9789 -3.8168 -0.1097 2.4173 -1.5847 5.8886" Properties=species:S:1:pos:R:3 pbc="T T T"
Hg -0.8365 -2.3843 4.6747
Hg 1.1795 -3.8675 3.4480
O -0.2531 -2.1636 2.2000
O 0.5961 -4.0882 5.9227
Sn 0.0000 0.0000 0.0000
```

Summary:
E_form (uncorrected) (kJ per mole of atoms): 15
Total DFT energy (no corrections) (eV per atom): -2.744
Size of the total moment (Bohr magnetons per cell): 0.00
Excess energy over the best structure of this formula in the dataset (meV/atom): 626